Record 1
Density functional theory data (GGA-PBE) for crystalline RbFe2S at its relaxed geometry.

As for the total energy: -83.49 eV per cell. The value obtained for the formation energy (no corrections) is 0.29 eV per atom. Its density of states at the Fermi level is 16.9 states/eV per cell. The crystal system is tetragonal.

The space group is I4_1/amd (No. 141, origin choice 2) and the conventional cell measures 4.9959, 4.9959 and 14.8858 Å, with angles of 90.00, 90.00 and 90.00 degrees. The distinct sites, in fractional coordinates, are Rb at (0.0000, 0.2500, 0.3750), Fe at (0.0000, 0.0000, 0.0000) and S at (0.0000, 0.2500, 0.8750).



Record 2
Density functional theory data (GGA-PBE) for crystalline Rb2FeS2 at its relaxed geometry.

As for the total energy: -40.54 eV per cell. The value obtained for the formation energy (no corrections) is -0.32 eV per atom. Its density of states at the Fermi level is 7.3 states/eV per cell. The crystal system is tetragonal.

The space group is P4/mbm (No. 127) and the conventional cell measures 6.9351, 6.9351 and 5.3477 Å, with angles of 90.00, 90.00 and 90.00 degrees. The distinct sites, in fractional coordinates, are Rb at (0.1567, 0.3433, 0.0000), Fe at (0.0000, 0.0000, 0.5000) and S at (0.1835, 0.6835, 0.5000).



Record 3
Density functional theory data (GGA-PBE) for crystalline Rb3FeS at its relaxed geometry.

As for the total energy: -12.63 eV per cell. The value obtained for the formation energy (no corrections) is 0.57 eV per atom. Its density of states at the Fermi level is 14.3 states/eV per cell. The crystal system is cubic.

The space group is Pm-3m (No. 221) and the conventional cell measures 6.1730, 6.1730 and 6.1730 Å, with angles of 90.00, 90.00 and 90.00 degrees. The distinct sites, in fractional coordinates, are Rb at (0.0000, 0.0000, 0.5000), Fe at (0.0000, 0.0000, 0.0000) and S at (0.5000, 0.5000, 0.5000).



Record 4
Density functional theory data (GGA-PBE) for crystalline Rb4FeS4 at its relaxed geometry.

As for the total energy: -73.73 eV per cell. The value obtained for the formation energy (no corrections) is -0.89 eV per atom. Its density of states at the Fermi level is 4.6 states/eV per cell. The crystal system is tetragonal.

The space group is P4_2/nmc (No. 137, origin choice 2) and the conventional cell measures 9.3147, 9.3147 and 6.8247 Å, with angles of 90.00, 90.00 and 90.00 degrees. The distinct sites, in fractional coordinates, are Rb at (0.0240, 0.2500, 0.0926), Fe at (0.2500, 0.7500, 0.2500) and S at (0.0439, 0.7500, 0.4118).



Record 5
Density functional theory data (GGA-PBE) for crystalline RbFeS2 at its relaxed geometry.

As for the total energy: -81.17 eV per cell. The value obtained for the formation energy (no corrections) is -0.65 eV per atom. Its density of states at the Fermi level is 13.0 states/eV per cell. The crystal system is tetragonal.

The space group is I-42d (No. 122) and the conventional cell measures 6.8456, 6.8456 and 8.2762 Å, with angles of 90.00, 90.00 and 90.00 degrees. The distinct sites, in fractional coordinates, are Rb at (0.0000, 0.0000, 0.0000), Fe at (0.0000, 0.0000, 0.5000) and S at (0.1075, 0.2500, 0.6250).



Record 6
Density functional theory data (GGA-PBE) for crystalline RbFe3S at its relaxed geometry.

The energy above the most stable polymorph in this dataset comes out at 0.0 meV/atom. As for the total energy: -27.08 eV per cell. The value obtained for the formation energy (no corrections) is 0.68 eV per atom. Its density of states at the Fermi level is 1.2 states/eV per cell. The crystal system is cubic.

The space group is Pm-3m (No. 221) and the conventional cell measures 4.4678, 4.4678 and 4.4678 Å, with angles of 90.00, 90.00 and 90.00 degrees. The distinct sites, in fractional coordinates, are Rb at (0.0000, 0.0000, 0.0000), Fe at (0.0000, 0.5000, 0.5000) and S at (0.5000, 0.5000, 0.5000).



Record 7
Density functional theory data (GGA-PBE) for crystalline RbFeS2 at its relaxed geometry.

As for the total energy: -82.79 eV per cell. The value obtained for the formation energy (no corrections) is -0.75 eV per atom. Its density of states at the Fermi level is 10.8 states/eV per cell. The crystal system is monoclinic.

The space group is C2/m (No. 12) and the conventional cell measures 13.5937, 5.1455 and 6.8328 Å, with angles of 90.00, 120.12 and 90.00 degrees. The distinct sites, in fractional coordinates, are Rb at (0.1719, 0.0000, 0.1714), Fe at (0.0000, 0.2505, 0.5000), S at (0.9997, 0.5000, 0.2494) and S at (0.1463, 0.0000, 0.6457).



Record 8
Density functional theory data (GGA-PBE) for crystalline Rb5Fe2S6 at its relaxed geometry.

As for the total energy: -231.25 eV per cell. The value obtained for the formation energy (no corrections) is -0.87 eV per atom. Its density of states at the Fermi level is 10.5 states/eV per cell. The crystal system is monoclinic.

The space group is C2/c (No. 15) and the conventional cell measures 13.0124, 8.2119 and 16.5917 Å, with angles of 90.00, 101.83 and 90.00 degrees. The distinct sites, in fractional coordinates, are Rb at (0.0000, 0.1191, 0.2500), Rb at (0.0558, 0.2333, 0.9966), Rb at (0.1574, 0.4236, 0.7201), Fe at (0.2286, 0.3512, 0.4323), S at (0.0705, 0.4380, 0.3790), S at (0.1516, 0.0616, 0.6348) and S at (0.2120, 0.0835, 0.4375).



Record 9
Density functional theory data (GGA-PBE) for crystalline RbScFeS3 at its relaxed geometry.

As for the total energy: -71.59 eV per cell. The value obtained for the formation energy (no corrections) is -1.28 eV per atom. Its density of states at the Fermi level is 4.2 states/eV per cell. The crystal system is monoclinic.

The space group is P2_1/m (No. 11) and the conventional cell measures 8.9117, 3.8080 and 9.4184 Å, with angles of 90.00, 112.13 and 90.00 degrees. The distinct sites, in fractional coordinates, are Rb at (0.2148, 0.2500, 0.2383), Sc at (0.3367, 0.7500, 0.8598), Fe at (0.0777, 0.2500, 0.5973), S at (0.1293, 0.2500, 0.8525), S at (0.2031, 0.7500, 0.5462) and S at (0.4720, 0.7500, 0.1500).



Record 10
Density functional theory data (GGA-PBE) for crystalline RbFeTcS3 at its relaxed geometry.

As for the total energy: -72.36 eV per cell. The value obtained for the formation energy (no corrections) is -0.67 eV per atom. Its density of states at the Fermi level is 4.8 states/eV per cell. The crystal system is monoclinic.

The space group is P2_1/m (No. 11) and the conventional cell measures 8.4550, 3.5920 and 9.2498 Å, with angles of 90.00, 117.05 and 90.00 degrees. The distinct sites, in fractional coordinates, are Rb at (0.0078, 0.2500, 0.2552), Fe at (0.4838, 0.7500, 0.3944), Tc at (0.4658, 0.2500, 0.1686), S at (0.2673, 0.7500, 0.1467), S at (0.3451, 0.7500, 0.5491) and S at (0.3521, 0.2500, 0.8686).



Record 11
Density functional theory data (GGA-PBE) for crystalline RbFeTeS at its relaxed geometry.

The energy above the most stable polymorph in this dataset comes out at 0.0 meV/atom. As for the total energy: -36.85 eV per cell. The value obtained for the formation energy (no corrections) is -0.43 eV per atom. Its density of states at the Fermi level is 4.7 states/eV per cell. The crystal system is orthorhombic.

The space group is Imm2 (No. 44) and the conventional cell measures 3.7936, 4.2262 and 13.3948 Å, with angles of 90.00, 90.00 and 90.00 degrees. The distinct sites, in fractional coordinates, are Rb at (0.0000, 0.0000, 0.0000), Fe at (0.0000, 0.5000, 0.7782), Te at (0.0000, 0.0000, 0.6797) and S at (0.0000, 0.0000, 0.3457).



Record 12
Density functional theory data (GGA-PBE) for crystalline RbFeTeS at its relaxed geometry.

The energy above the most stable polymorph in this dataset comes out at 95.8 meV/atom. As for the total energy: -18.04 eV per cell. The value obtained for the formation energy (no corrections) is -0.34 eV per atom. Its density of states at the Fermi level is 3.1 states/eV per cell. The crystal system is trigonal.

The space group is P3m1 (No. 156) and the conventional cell measures 4.4365, 4.4365 and 7.8420 Å, with angles of 90.00, 90.00 and 120.00 degrees. The distinct sites, in fractional coordinates, are Rb at (0.0000, 0.0000, 0.0000), Fe at (0.3333, 0.6667, 0.4861), Te at (0.6667, 0.3333, 0.3676) and S at (0.3333, 0.6667, 0.7542).



Record 13
Density functional theory data (GGA-PBE) for crystalline RbFeTeS at its relaxed geometry.

The energy above the most stable polymorph in this dataset comes out at 27.9 meV/atom. As for the total energy: -18.31 eV per cell. The value obtained for the formation energy (no corrections) is -0.40 eV per atom. Its density of states at the Fermi level is 4.0 states/eV per cell. The crystal system is triclinic.

The space group is P1 (No. 1) and the conventional cell measures 3.5921, 4.4438 and 7.8276 Å, with angles of 102.17, 90.05 and 113.75 degrees. The distinct sites, in fractional coordinates, are Rb at (0.0000, 0.0000, 0.0000), Fe at (0.8616, 0.7193, 0.4547), Te at (0.2123, 0.4195, 0.6175) and S at (0.3631, 0.7232, 0.2745).



Record 14
Density functional theory data (GGA-PBE) for crystalline RbFeTeS at its relaxed geometry.

The energy above the most stable polymorph in this dataset comes out at 100.0 meV/atom. As for the total energy: -54.07 eV per cell. The value obtained for the formation energy (no corrections) is -0.33 eV per atom. Its density of states at the Fermi level is 8.2 states/eV per cell. The crystal system is trigonal.

The space group is R3m (No. 160, hexagonal axes) and the conventional cell measures 4.4149, 4.4149 and 23.9414 Å, with angles of 90.00, 90.00 and 120.00 degrees. The distinct sites, in fractional coordinates, are Rb at (0.0000, 0.0000, 0.0000), Fe at (0.0000, 0.0000, 0.1653), Te at (0.0000, 0.0000, 0.7912) and S at (0.0000, 0.0000, 0.2532).



Record 15
Density functional theory data (GGA-PBE) for crystalline RbFeTeS at its relaxed geometry.

The energy above the most stable polymorph in this dataset comes out at 33.9 meV/atom. As for the total energy: -18.29 eV per cell. The value obtained for the formation energy (no corrections) is -0.40 eV per atom. Its density of states at the Fermi level is 2.8 states/eV per cell. The crystal system is monoclinic.

The space group is Pm (No. 6) and the conventional cell measures 4.9829, 3.5913 and 7.2103 Å, with angles of 90.00, 90.29 and 90.00 degrees. The distinct sites, in fractional coordinates, are Rb at (0.0000, 0.0000, 0.0000), Fe at (0.4977, 0.0000, 0.5834), Te at (0.5014, 0.5000, 0.3246) and S at (0.4981, 0.5000, 0.7769).



Record 16
Density functional theory data (GGA-PBE) for crystalline RbFeTeS at its relaxed geometry.

The energy above the most stable polymorph in this dataset comes out at 33.0 meV/atom. As for the total energy: -36.58 eV per cell. The value obtained for the formation energy (no corrections) is -0.40 eV per atom. Its density of states at the Fermi level is 8.5 states/eV per cell. The crystal system is monoclinic.

The space group is Cm (No. 8) and the conventional cell measures 8.1459, 3.5724 and 7.8349 Å, with angles of 90.00, 101.28 and 90.00 degrees. The distinct sites, in fractional coordinates, are Rb at (0.0000, 0.0000, 0.0000), Fe at (0.4160, 0.5000, 0.4609), Te at (0.1348, 0.5000, 0.6229) and S at (0.3469, 0.0000, 0.2781).



Record 17
Density functional theory data (GGA-PBE) for crystalline Rb2UFe2S4 at its relaxed geometry.

As for the total energy: -111.01 eV per cell. The value obtained for the formation energy (no corrections) is -0.98 eV per atom. Its density of states at the Fermi level is 8.8 states/eV per cell. The crystal system is monoclinic.

The space group is C2/m (No. 12) and the conventional cell measures 14.0904, 3.8073 and 8.0615 Å, with angles of 90.00, 107.98 and 90.00 degrees. The distinct sites, in fractional coordinates, are Rb at (0.1352, 0.0000, 0.0541), U at (0.0000, 0.0000, 0.5000), Fe at (0.1805, 0.5000, 0.4823), S at (0.0250, 0.5000, 0.2752) and S at (0.1995, 0.0000, 0.6693).



Record 18
Density functional theory data (GGA-PBE) for crystalline RbU2FeS4 at its relaxed geometry.

As for the total energy: -232.69 eV per cell. The value obtained for the formation energy (no corrections) is -1.21 eV per atom. Its density of states at the Fermi level is 51.0 states/eV per cell. The crystal system is orthorhombic.

The space group is Cmcm (No. 63) and the conventional cell measures 3.8229, 14.0912 and 13.4096 Å, with angles of 90.00, 90.00 and 90.00 degrees. The distinct sites, in fractional coordinates, are Rb at (0.0000, 0.0995, 0.2500), U at (0.0000, 0.3647, 0.0593), Fe at (0.0000, 0.1719, 0.7500), S at (0.0000, 0.0000, 0.0000), S at (0.0000, 0.2638, 0.6124) and S at (0.0000, 0.4203, 0.2500).



Record 19
Density functional theory data (GGA-PBE) for crystalline RbU4Fe3S12 at its relaxed geometry.

As for the total energy: -276.03 eV per cell. The value obtained for the formation energy (no corrections) is -0.85 eV per atom. Its density of states at the Fermi level is 69.1 states/eV per cell. The crystal system is cubic.

The space group is Im-3 (No. 204) and the conventional cell measures 9.7703, 9.7703 and 9.7703 Å, with angles of 90.00, 90.00 and 90.00 degrees. The distinct sites, in fractional coordinates, are Rb at (0.0000, 0.0000, 0.0000), U at (0.2500, 0.2500, 0.2500), Fe at (0.0000, 0.0000, 0.5000) and S at (0.0000, 0.1695, 0.3233).



Record 20
Density functional theory data (GGA-PBE) for crystalline Rb4U3FeS8 at its relaxed geometry.

As for the total energy: -293.71 eV per cell. The value obtained for the formation energy (no corrections) is -1.17 eV per atom. Its density of states at the Fermi level is 50.0 states/eV per cell. The crystal system is trigonal.

The space group is R-3m (No. 166, hexagonal axes) and the conventional cell measures 8.0110, 8.0110 and 23.1247 Å, with angles of 90.00, 90.00 and 120.00 degrees. The distinct sites, in fractional coordinates, are Rb at (0.0000, 0.0000, 0.0000), Rb at (0.0000, 0.5000, 0.0000), U at (0.0000, 0.5000, 0.5000), Fe at (0.0000, 0.0000, 0.5000), S at (0.0000, 0.0000, 0.2318) and S at (0.0052, 0.5026, 0.2292).